Density functional theory data (SCAN) for a PBEsol-optimized structure of Lu2NiOs.

Calculated values
Volume, Å³/atom: 17.476
Formation energy from the elements, kJ/mol of atoms: -54

a = 4.6239 Å, b = 4.6239 Å, c = 4.6239 Å
α = 60.00°, β = 60.00°, γ = 60.00°
Last column: nearest neighbours and their distance in Å.
Sites, in units of the cell vectors:
Ni: 0.5000 0.5000 0.5000  8 Lu 2.83
Lu: 0.2500 0.2500 0.2500  4 Ni 2.83, 4 Os 2.83
Lu: 0.7500 0.7500 0.7500  4 Os 2.83, 4 Ni 2.83
Os: 0.0000 0.0000 0.0000  8 Lu 2.83

=====

Density functional theory data (SCAN) for a PBEsol-optimized structure of Lu5NiPb3.

Calculated values
Volume, Å³/atom: 24.286
Formation energy from the elements, kJ/mol of atoms: -64

a = 6.4316 Å, b = 8.8590 Å, c = 8.8590 Å
α = 120.00°, β = 90.00°, γ = 90.00°
Last column: nearest neighbours and their distance in Å.
Sites, in units of the cell vectors:
Lu: 0.2500 0.0000 0.7625  2 Ni 2.65
Lu: 0.7500 0.0000 0.2375  2 Ni 2.65
Lu: 0.2500 0.7625 0.0000  2 Ni 2.65
Lu: 0.0000 0.3333 0.6667  6 Pb 3.15, 2 Lu 3.22
Lu: 0.0000 0.6667 0.3333  6 Pb 3.15, 2 Lu 3.22
Lu: 0.5000 0.6667 0.3333  6 Pb 3.15, 2 Lu 3.22
Lu: 0.7500 0.2375 0.0000  2 Ni 2.65
Lu: 0.7500 0.7625 0.7625  2 Ni 2.65
Lu: 0.5000 0.3333 0.6667  6 Pb 3.15, 2 Lu 3.22
Lu: 0.2500 0.2375 0.2375  2 Ni 2.65
Ni: 0.5000 0.0000 0.0000  6 Lu 2.65
Ni: 0.0000 0.0000 0.0000  6 Lu 2.65
Pb: 0.7500 0.0000 0.6002  7 Lu 3.09-3.21
Pb: 0.7500 0.6002 0.0000  7 Lu 3.09-3.21
Pb: 0.2500 0.6002 0.6002  7 Lu 3.09-3.21
Pb: 0.2500 0.0000 0.3998  7 Lu 3.09-3.21
Pb: 0.2500 0.3998 0.0000  7 Lu 3.09-3.21
Pb: 0.7500 0.3998 0.3998  7 Lu 3.09-3.21

=====

Density functional theory data (SCAN) for a PBEsol-optimized structure of Lu5Ni2Sb.

Calculated values
Volume, Å³/atom: 21.739
Energy relative to the elements, uncorrected, eV/atom: -0.620

a = 7.3271 Å, b = 8.2957 Å, c = 7.3271 Å
α = 63.79°, β = 90.00°, γ = 116.21°
Last column: nearest neighbours and their distance in Å.
Sites, in units of the cell vectors:
Ni: 0.1311 0.0000 0.6311  1 Ni 2.72, 8 Lu 2.76-2.87
Ni: 0.8689 0.0000 0.3689  1 Ni 2.72, 8 Lu 2.76-2.87
Ni: 0.6311 0.0000 0.8689  1 Ni 2.72, 8 Lu 2.76-2.87
Ni: 0.3689 0.0000 0.1311  1 Ni 2.72, 8 Lu 2.76-2.87
Lu: 0.0000 0.0000 0.0000  4 Ni 2.87
Lu: 0.5000 0.0000 0.5000  4 Ni 2.87
Lu: 0.7935 0.2728 0.0206  3 Ni 2.76-2.82
Lu: 0.2065 0.7272 0.9794  3 Ni 2.76-2.82
Lu: 0.4794 0.2728 0.7065  3 Ni 2.76-2.82
Lu: 0.2935 0.2728 0.2065  3 Ni 2.76-2.82
Lu: 0.0206 0.7272 0.4794  3 Ni 2.76-2.82
Lu: 0.5206 0.7272 0.2935  3 Ni 2.76-2.82
Lu: 0.7065 0.7272 0.7935  3 Ni 2.76-2.82
Lu: 0.9794 0.2728 0.5206  3 Ni 2.76-2.82
Sb: 0.2500 0.5000 0.7500  10 Lu 3.13-3.24
Sb: 0.7500 0.5000 0.2500  10 Lu 3.13-3.24